No. 1
Compound: Ca3MgP
Source: Alexandria via LeMat-Bulk
Functional: PBE
Structure: optimized geometry

Results
E above lowest polymorph ... 0.121 eV/atom
Mass density ... 1887 kg/m³
Space-group type ... R3c, No. 161
Total DFT energy (no corrections) ... -3.05 eV/atom
DOS(E_F) ... 4.11 states/eV/f.u.

Lattice parameters (Å, degrees): 6.975 6.975 6.975 74.75 74.75 74.75
Positions (direct):
Ca: 0.944 0.583 0.118
Mg: 0.073 0.073 0.073
P: 0.764 0.764 0.764
Ca: 0.618 0.083 0.444
Ca: 0.083 0.444 0.618
Ca: 0.444 0.618 0.083
P: 0.264 0.264 0.264
Mg: 0.573 0.573 0.573
Ca: 0.118 0.944 0.583
Ca: 0.583 0.118 0.944

No. 2
Compound: MoAsPb2
Source: Alexandria via LeMat-Bulk
Functional: PBE
Structure: optimized geometry

Results
Mass density ... 10154 kg/m³
Space-group type ... R3m, No. 160
Total DFT energy (no corrections) ... -5.59 eV/atom
DOS(E_F) ... 2.11 states/eV/f.u.

Lattice parameters (Å, degrees): 10.402 10.402 10.402 18.18 18.18 18.18
Positions (direct):
Pb: 0.016 0.016 0.016
Mo: 0.760 0.760 0.760
Pb: 0.242 0.242 0.242
As: 0.482 0.482 0.482

No. 3
Compound: Ce8RuRh2
Source: Alexandria via LeMat-Bulk
Functional: PBE
Structure: optimized geometry

Results
E above lowest polymorph ... 0.006 eV/atom
Mass density ... 8840 kg/m³
Space-group type ... C2/m, No. 12
Total DFT energy (no corrections) ... -6.80 eV/atom
DOS(E_F) ... 27.88 states/eV/f.u.

Lattice parameters (Å, degrees): 5.758 7.413 7.413 116.02 100.13 100.13
Last column: magnetic moment on the atom in μB.
Positions (direct):
Ce: 0.847 0.639 0.639  0.13
Ce: 0.416 0.706 0.922  0.08
Ce: 0.416 0.922 0.706  0.08
Rh: 0.500 0.686 0.320  -0.02
Ce: 0.584 0.300 0.084  0.08
Ce: 0.000 0.222 0.784  0.46
Ce: 0.153 0.367 0.367  0.13
Rh: 0.500 0.320 0.686  -0.02
Ru: 0.000 0.003 0.003  -0.04
Ce: 0.000 0.784 0.222  0.46
Ce: 0.584 0.084 0.300  0.08

No. 4
Compound: KSb2Ru
Source: Alexandria via LeMat-Bulk
Functional: PBE
Structure: optimized geometry

Results
E above lowest polymorph ... 0.019 eV/atom
Mass density ... 6003 kg/m³
Space-group type ... C2/m, No. 12
Total DFT energy (no corrections) ... -4.79 eV/atom
DOS(E_F) ... 1.73 states/eV/f.u.
Formation energy from raw total energies ... -12.9 kJ/mol of atoms

Lattice parameters (Å, degrees): 4.403 4.403 7.865 81.51 81.51 44.83
Positions (direct):
Sb: 0.980 0.980 0.081
K: 0.750 0.750 0.750
Ru: 0.250 0.250 0.250
Sb: 0.520 0.520 0.419

No. 5
Compound: ThTcP2Rh5
Source: Alexandria via LeMat-Bulk
Functional: PBE
Structure: optimized geometry

Results
Mass density ... 9135 kg/m³
Space-group type ... P4/mmm, No. 123
Total DFT energy (no corrections) ... -7.50 eV/atom
DOS(E_F) ... 7.39 states/eV/f.u.

Lattice parameters (Å, degrees): 4.013 4.013 10.233 90.00 90.00 90.00
Last column: magnetic moment on the atom in μB.
Positions (direct):
Rh: 0.000 0.500 0.834  0.06
Rh: 0.000 0.000 0.500  0.02
Th: 0.500 0.500 0.500  0.01
P: 0.000 0.000 0.279  0.01
Rh: 0.000 0.500 0.166  0.06
P: 0.000 0.000 0.721  0.01
Tc: 0.000 0.000 0.000  1.29
Rh: 0.500 0.000 0.834  0.06
Rh: 0.500 0.000 0.166  0.06

No. 6
Compound: TlGaRu2
Source: Alexandria via LeMat-Bulk
Functional: PBE
Structure: optimized geometry

Results
E above lowest polymorph ... 0.000 eV/atom
Mass density ... 12172 kg/m³
Space-group type ... Fm-3m, No. 225
Total DFT energy (no corrections) ... -5.72 eV/atom
DOS(E_F) ... 5.48 states/eV/f.u.

Lattice parameters (Å, degrees): 4.512 4.512 4.512 60.00 60.00 60.00
Last column: magnetic moment on the atom in μB.
Positions (direct):
Tl: 0.500 0.500 0.500  0.00
Ru: 0.250 0.250 0.250  -0.06
Ru: 0.750 0.750 0.750  -0.06
Ga: 0.000 0.000 0.000  0.00

No. 7
Compound: CaTl2Pt
Source: Alexandria via LeMat-Bulk
Functional: PBE
Structure: optimized geometry

Results
Mass density ... 10723 kg/m³
Space-group type ... Immm, No. 71
Total DFT energy (no corrections) ... -3.55 eV/atom
DOS(E_F) ... 1.65 states/eV/f.u.

Lattice parameters (Å, degrees): 6.134 6.134 5.148 65.19 65.19 34.97
Positions (direct):
Pt: 0.250 0.250 0.250
Tl: 0.539 0.539 0.461
Ca: 0.750 0.750 0.750
Tl: 0.961 0.961 0.039

> Which value of total DFT energy (no corrections) does entry 5 give?

-7.50 eV/atom